Li5Zn2: optimized geometry, GGA-PBE.

a = 7.0792 Å, b = 7.0792 Å, c = 7.0792 Å
α = 36.72°, β = 36.72°, γ = 36.72°
Last column: nearest neighbours and their distance in Å.
Fractional positions:
Li (0.0000, 0.0000, 0.0000)  6 Li 2.81, 2 Zn 2.82
Li (0.2766, 0.2766, 0.2766)  1 Zn 2.65, 6 Li 2.72-2.81
Li (0.4342, 0.4342, 0.4342)  4 Li 2.60-2.72, 3 Zn 2.70
Li (0.5658, 0.5658, 0.5658)  4 Li 2.60-2.72, 3 Zn 2.70
Li (0.7234, 0.7234, 0.7234)  1 Zn 2.65, 6 Li 2.72-2.81
Zn (0.1427, 0.1427, 0.1427)  5 Li 2.65-2.82, 3 Zn 2.74
Zn (0.8573, 0.8573, 0.8573)  5 Li 2.65-2.82, 3 Zn 2.74

Properties
Electronic total energy in eV per atom: -1.838
Energy relative to the lowest polymorph listed for this composition in kJ/mol of formula units: 3
Symmetry: No. 166
Calculated formation energy in eV/atom: -0.107

=====

LiZn: optimized geometry, GGA-PBE.

a = 4.3708 Å, b = 4.3708 Å, c = 8.1385 Å
α = 90.00°, β = 90.00°, γ = 120.00°
Last column: nearest neighbours and their distance in Å.
Fractional positions:
Li (0.3333, 0.6667, 0.0871)  4 Li 2.65-2.89, 7 Zn 2.74-2.85
Li (0.3333, 0.6667, 0.4129)  4 Li 2.65-2.89, 7 Zn 2.74-2.85
Li (0.6667, 0.3333, 0.5871)  4 Li 2.65-2.89, 7 Zn 2.74-2.85
Li (0.6667, 0.3333, 0.9129)  4 Li 2.65-2.89, 7 Zn 2.74-2.85
Zn (0.0000, 0.0000, 0.2500)  3 Zn 2.52
Zn (0.0000, 0.0000, 0.7500)  3 Zn 2.52
Zn (0.3333, 0.6667, 0.7500)  3 Zn 2.52, 2 Li 2.74
Zn (0.6667, 0.3333, 0.2500)  3 Zn 2.52, 2 Li 2.74

Properties
Electronic total energy in eV per atom: -1.693
Symmetry: No. 194
Calculated formation energy in eV/atom: -0.099

=====

LiZn: optimized geometry, GGA-PBE.

a = 8.1986 Å, b = 8.1986 Å, c = 8.1986 Å
α = 90.00°, β = 90.00°, γ = 90.00°
Last column: nearest neighbours and their distance in Å.
Fractional positions:
Li (0.2042, 0.2042, 0.2042)  4 Zn 2.59-2.81
Li (0.2042, 0.7958, 0.7958)  4 Zn 2.59-2.81
Li (0.2958, 0.2958, 0.7042)  4 Zn 2.59-2.81
Li (0.2958, 0.7042, 0.2958)  4 Zn 2.59-2.81
Li (0.7042, 0.2958, 0.2958)  4 Zn 2.59-2.81
Li (0.7042, 0.7042, 0.7042)  4 Zn 2.59-2.81
Li (0.7958, 0.2042, 0.7958)  4 Zn 2.59-2.81
Li (0.7958, 0.7958, 0.2042)  4 Zn 2.59-2.81
Zn (0.1136, 0.1136, 0.8864)  4 Li 2.59-2.81, 3 Zn 2.64
Zn (0.1136, 0.8864, 0.1136)  4 Li 2.59-2.81, 3 Zn 2.64
Zn (0.3864, 0.3864, 0.3864)  4 Li 2.59-2.81, 3 Zn 2.64
Zn (0.3864, 0.6136, 0.6136)  4 Li 2.59-2.81, 3 Zn 2.64
Zn (0.6136, 0.3864, 0.6136)  4 Li 2.59-2.81, 3 Zn 2.64
Zn (0.6136, 0.6136, 0.3864)  4 Li 2.59-2.81, 3 Zn 2.64
Zn (0.8864, 0.1136, 0.1136)  4 Li 2.59-2.81, 3 Zn 2.64
Zn (0.8864, 0.8864, 0.8864)  4 Li 2.59-2.81, 3 Zn 2.64

Properties
Electronic total energy in eV per atom: -1.162
Symmetry: No. 217
Calculated formation energy in eV/atom: 0.432

=====

Li2Zn: optimized geometry, GGA-PBE.

a = 2.7024 Å, b = 4.1821 Å, c = 8.3473 Å
α = 90.00°, β = 90.00°, γ = 90.00°
Last column: nearest neighbours and their distance in Å.
Fractional positions:
Li (0.0000, 0.0000, 0.1614)  7 Li 2.69-2.90, 5 Zn 2.83
Li (0.0000, 0.0000, 0.8386)  7 Li 2.69-2.90, 5 Zn 2.83
Li (0.5000, 0.5000, 0.3386)  7 Li 2.69-2.90, 5 Zn 2.83
Li (0.5000, 0.5000, 0.6614)  7 Li 2.69-2.90, 5 Zn 2.83
Zn (0.0000, 0.0000, 0.5000)  2 Zn 2.70, 10 Li 2.83
Zn (0.5000, 0.5000, 0.0000)  2 Zn 2.70, 10 Li 2.83

Properties
Electronic total energy in eV per atom: -1.825
Symmetry: No. 71
Calculated formation energy in eV/atom: -0.124

=====

Li2Zn: optimized geometry, GGA-PBE.

a = 7.8999 Å, b = 7.8999 Å, c = 2.6903 Å
α = 90.00°, β = 90.00°, γ = 120.00°
Last column: nearest neighbours and their distance in Å.
Fractional positions:
Li (0.0000, 0.3054, 0.0000)  8 Li 2.69-2.98, 4 Zn 2.75-2.76
Li (0.0000, 0.6398, 0.5000)  8 Li 2.69-2.98, 5 Zn 2.85-2.87
Li (0.3054, 0.0000, 0.0000)  8 Li 2.69-2.98, 4 Zn 2.75-2.76
Li (0.3602, 0.3602, 0.5000)  8 Li 2.69-2.98, 5 Zn 2.85-2.87
Li (0.6398, 0.0000, 0.5000)  8 Li 2.69-2.98, 5 Zn 2.85-2.87
Li (0.6946, 0.6946, 0.0000)  8 Li 2.69-2.98, 4 Zn 2.75-2.76
Zn (0.0000, 0.0000, 0.5000)  2 Zn 2.69, 9 Li 2.76-2.85
Zn (0.3333, 0.6667, 0.0000)  2 Zn 2.69, 9 Li 2.75-2.87
Zn (0.6667, 0.3333, 0.0000)  2 Zn 2.69, 9 Li 2.75-2.87

Properties
Electronic total energy in eV per atom: -1.810
Symmetry: No. 189
Calculated formation energy in eV/atom: -0.110

=====

Li13Zn2: optimized geometry, GGA-PBE.

a = 8.0856 Å, b = 8.0856 Å, c = 8.0856 Å
α = 56.88°, β = 56.88°, γ = 56.88°
Last column: nearest neighbours and their distance in Å.
Fractional positions:
Li (0.0000, 0.0000, 0.0000)  12 Li 2.79-2.85
Li (0.0168, 0.0168, 0.6378)  2 Li 2.55-2.79, 1 Zn 2.79
Li (0.0168, 0.6378, 0.0168)  2 Li 2.55-2.79, 1 Zn 2.79
Li (0.2354, 0.2354, 0.6041)  8 Li 2.84-2.99, 1 Zn 2.86
Li (0.2354, 0.6041, 0.2354)  8 Li 2.84-2.99, 1 Zn 2.86
Li (0.3622, 0.9832, 0.9832)  2 Li 2.55-2.79, 1 Zn 2.79
Li (0.3959, 0.7646, 0.7646)  8 Li 2.84-2.99, 1 Zn 2.86
Li (0.6041, 0.2354, 0.2354)  8 Li 2.84-2.99, 1 Zn 2.86
Li (0.6378, 0.0168, 0.0168)  2 Li 2.55-2.79, 1 Zn 2.79
Li (0.7646, 0.3959, 0.7646)  8 Li 2.84-2.99, 1 Zn 2.86
Li (0.7646, 0.7646, 0.3959)  8 Li 2.84-2.99, 1 Zn 2.86
Li (0.9832, 0.3622, 0.9832)  2 Li 2.55-2.79, 1 Zn 2.79
Li (0.9832, 0.9832, 0.3622)  2 Li 2.55-2.79, 1 Zn 2.79
Zn (0.2423, 0.2423, 0.2423)  6 Li 2.79-2.86
Zn (0.7577, 0.7577, 0.7577)  6 Li 2.79-2.86

Properties
Electronic total energy in eV per atom: -1.646
Energy relative to the lowest polymorph listed for this composition in kJ/mol of formula units: 326
Symmetry: No. 166
Calculated formation energy in eV/atom: 0.182

=====

Q: electronic total energy of number 4 (Li2Zn)?
A: -1.825 eV per atom

=====

Please write out number 2 again, unchanged.
LiZn: optimized geometry, GGA-PBE.

a = 4.3708 Å, b = 4.3708 Å, c = 8.1385 Å
α = 90.00°, β = 90.00°, γ = 120.00°
Last column: nearest neighbours and their distance in Å.
Fractional positions:
Li (0.3333, 0.6667, 0.0871)  4 Li 2.65-2.89, 7 Zn 2.74-2.85
Li (0.3333, 0.6667, 0.4129)  4 Li 2.65-2.89, 7 Zn 2.74-2.85
Li (0.6667, 0.3333, 0.5871)  4 Li 2.65-2.89, 7 Zn 2.74-2.85
Li (0.6667, 0.3333, 0.9129)  4 Li 2.65-2.89, 7 Zn 2.74-2.85
Zn (0.0000, 0.0000, 0.2500)  3 Zn 2.52
Zn (0.0000, 0.0000, 0.7500)  3 Zn 2.52
Zn (0.3333, 0.6667, 0.7500)  3 Zn 2.52, 2 Li 2.74
Zn (0.6667, 0.3333, 0.2500)  3 Zn 2.52, 2 Li 2.74

Properties
Electronic total energy in eV per atom: -1.693
Symmetry: No. 194
Calculated formation energy in eV/atom: -0.099

=====

Q: Which of these has the highest electronic total energy?
A: number 3

=====

Q: What is the calculated formation energy in the fifth record?
A: -0.110 eV/atom